Entry 1:
ErThCu2 (PBE-GGA, relaxed); ΔH_f (0 K) = -0.16 eV per atom; density = 10.17 Mg/m³; total magnetization = 0.00 Bohr magnetons per cell; symmetry = No. 123; distance to the lowest polymorph of the same formula = 0.08 eV per formula unit
1.0
3.4470 0.0000 0.0000
0.0000 3.4470 0.0000
0.0000 0.0000 7.2338
Cu Er Th
2 1 1
direct
0.0000 0.0000 0.2257
0.0000 0.0000 0.7743
0.5000 0.5000 0.0000
0.5000 0.5000 0.5000

Entry 2:
SrIn2GePd2 (PBE-GGA, relaxed); ΔH_f (0 K) = -0.44 eV per atom; density = 7.01 Mg/m³; total magnetization = 0.00 Bohr magnetons per cell; symmetry = No. 123
1.0
-1.4466 -0.0006 4.5863
-4.5185 -0.8234 -1.4253
1.0085 -6.0839 0.3174
Pd In Ge Sr
2 2 1 1
direct
0.5000 0.0000 0.0000
0.0000 0.5000 0.0000
0.5000 0.5000 0.7416
0.5000 0.5000 0.2584
0.0000 0.0000 0.0000
0.0000 0.0000 0.5000